Computed, not measured: SrMgBeN2 after structural relaxation at the PBE level of DFT.

Computed properties:
Raw formation energy ... -754 meV per atom
SG ... No. 13
Electronic total energy ... -54.85 eV for the cell shown

abc: 4.287 5.701 6.010
angles: 101.58 90.00 90.00
Fractional coordinates of all 10 atoms:
Sr1 0.209 0.500 0.750
Sr2 0.791 0.500 0.250
Mg1 0.481 0.000 0.250
Mg2 0.519 0.000 0.750
Be1 0.000 0.000 0.000
Be2 0.000 0.000 0.500
N1 0.753 0.799 0.968
N2 0.753 0.201 0.532
N3 0.247 0.799 0.468
N4 0.247 0.201 0.032


Computed, not measured: CsRbTiCl6 after structural relaxation at the PBE level of DFT.

Computed properties:
Raw formation energy ... -1770 meV per atom
SG ... No. 149
Electronic total energy ... -36.72 eV for the cell shown

abc: 7.703 7.702 6.876
angles: 90.00 90.00 60.00
Fractional coordinates of all 9 atoms:
Cs1 0.000 0.000 0.000
Rb1 0.667 0.667 0.500
Ti1 0.333 0.333 0.500
Cl1 0.084 0.331 0.300
Cl2 0.331 0.084 0.700
Cl3 0.585 0.331 0.700
Cl4 0.084 0.585 0.700
Cl5 0.331 0.585 0.300
Cl6 0.585 0.084 0.300